Record 1
Computed, not measured: LiVF3 at its PBEsol-relaxed geometry at the meta-GGA SCAN level of DFT.

a = 5.667 Å, b = 5.667 Å, c = 5.795 Å
α = 90.00°, β = 90.00°, γ = 120.00°
Atoms (fractional coordinates):
Li (0.333, 0.667, 0.250)
Li (0.667, 0.333, 0.750)
V (0.000, 0.000, 0.000)
V (0.000, 0.000, 0.500)
F (0.151, 0.301, 0.250)
F (0.151, 0.849, 0.250)
F (0.301, 0.151, 0.750)
F (0.699, 0.849, 0.250)
F (0.849, 0.151, 0.750)
F (0.849, 0.699, 0.750)

Output
V (Å³/cell): 161.2
DFT total energy (eV per atom): -9.037
Space-group type: No. 194
ΔE_f (raw) (meV/atom): -2937

Record 2
Computed, not measured: Li2VF4 at its PBEsol-relaxed geometry at the meta-GGA SCAN level of DFT.

a = 5.201 Å, b = 5.201 Å, c = 5.201 Å
α = 133.96°, β = 133.96°, γ = 67.15°
Atoms (fractional coordinates):
Li (0.250, 0.750, 0.500)
Li (0.750, 0.250, 0.500)
V (0.000, 0.000, 0.000)
F (0.000, 0.500, 0.500)
F (0.236, 0.236, 0.000)
F (0.500, 0.000, 0.500)
F (0.764, 0.764, 0.000)

Output
V (Å³/cell): 71.7
DFT total energy (eV per atom): -8.238
Space-group type: No. 139
ΔE_f (raw) (meV/atom): -3034

Record 3
Computed, not measured: LiVF3 at its PBEsol-relaxed geometry at the meta-GGA SCAN level of DFT.

a = 5.587 Å, b = 18.500 Å, c = 9.191 Å
α = 90.00°, β = 90.00°, γ = 90.00°
Atoms (fractional coordinates):
Li (0.059, 0.223, 0.174)
Li (0.059, 0.277, 0.674)
Li (0.170, 0.542, 0.330)
Li (0.170, 0.958, 0.830)
Li (0.330, 0.042, 0.330)
Li (0.330, 0.458, 0.830)
Li (0.441, 0.723, 0.174)
Li (0.441, 0.777, 0.674)
Li (0.559, 0.223, 0.326)
Li (0.559, 0.277, 0.826)
Li (0.670, 0.542, 0.170)
Li (0.670, 0.958, 0.670)
Li (0.830, 0.042, 0.170)
Li (0.830, 0.458, 0.670)
Li (0.941, 0.723, 0.326)
Li (0.941, 0.777, 0.826)
V (0.165, 0.619, 0.658)
V (0.165, 0.881, 0.158)
V (0.174, 0.620, 0.017)
V (0.174, 0.880, 0.517)
V (0.326, 0.120, 0.017)
V (0.326, 0.380, 0.517)
V (0.335, 0.119, 0.658)
V (0.335, 0.381, 0.158)
V (0.665, 0.619, 0.842)
V (0.665, 0.881, 0.342)
V (0.674, 0.620, 0.483)
V (0.674, 0.880, 0.983)
V (0.826, 0.120, 0.483)
V (0.826, 0.380, 0.983)
V (0.835, 0.119, 0.842)
V (0.835, 0.381, 0.342)
F (0.005, 0.173, 0.665)
F (0.005, 0.327, 0.165)
F (0.009, 0.175, 0.996)
F (0.009, 0.325, 0.496)
F (0.121, 0.694, 0.176)
F (0.121, 0.806, 0.676)
F (0.154, 0.059, 0.165)
F (0.154, 0.441, 0.665)
F (0.155, 0.070, 0.493)
F (0.155, 0.430, 0.993)
F (0.171, 0.065, 0.833)
F (0.171, 0.435, 0.333)
F (0.329, 0.565, 0.833)
F (0.329, 0.935, 0.333)
F (0.345, 0.570, 0.493)
F (0.345, 0.930, 0.993)
F (0.346, 0.559, 0.165)
F (0.346, 0.941, 0.665)
F (0.379, 0.194, 0.176)
F (0.379, 0.306, 0.676)
F (0.491, 0.675, 0.996)
F (0.491, 0.825, 0.496)
F (0.495, 0.673, 0.665)
F (0.495, 0.827, 0.165)
F (0.505, 0.173, 0.835)
F (0.505, 0.327, 0.335)
F (0.509, 0.175, 0.504)
F (0.509, 0.325, 0.004)
F (0.621, 0.694, 0.324)
F (0.621, 0.806, 0.824)
F (0.654, 0.059, 0.335)
F (0.654, 0.441, 0.835)
F (0.655, 0.070, 0.007)
F (0.655, 0.430, 0.507)
F (0.671, 0.065, 0.667)
F (0.671, 0.435, 0.167)
F (0.829, 0.565, 0.667)
F (0.829, 0.935, 0.167)
F (0.845, 0.570, 0.007)
F (0.845, 0.930, 0.507)
F (0.846, 0.559, 0.335)
F (0.846, 0.941, 0.835)
F (0.879, 0.194, 0.324)
F (0.879, 0.306, 0.824)
F (0.991, 0.675, 0.504)
F (0.991, 0.825, 0.004)
F (0.995, 0.673, 0.835)
F (0.995, 0.827, 0.335)

Output
V (Å³/cell): 949.9
DFT total energy (eV per atom): -9.107
Space-group type: No. 61
ΔE_f (raw) (meV/atom): -3008

Record 4
Computed, not measured: LiVF5 at its PBEsol-relaxed geometry at the meta-GGA SCAN level of DFT.

a = 5.838 Å, b = 5.838 Å, c = 12.126 Å
α = 90.00°, β = 90.00°, γ = 74.29°
Atoms (fractional coordinates):
Li (0.157, 0.157, 0.000)
Li (0.343, 0.343, 0.500)
Li (0.657, 0.657, 0.500)
Li (0.843, 0.843, 0.000)
V (0.171, 0.829, 0.584)
V (0.329, 0.671, 0.084)
V (0.671, 0.329, 0.916)
V (0.829, 0.171, 0.416)
F (0.020, 0.980, 0.694)
F (0.031, 0.675, 0.125)
F (0.133, 0.133, 0.500)
F (0.175, 0.531, 0.625)
F (0.182, 0.818, 0.954)
F (0.318, 0.682, 0.454)
F (0.325, 0.969, 0.125)
F (0.367, 0.367, 0.000)
F (0.469, 0.825, 0.625)
F (0.480, 0.520, 0.194)
F (0.520, 0.480, 0.806)
F (0.531, 0.175, 0.375)
F (0.633, 0.633, 0.000)
F (0.675, 0.031, 0.875)
F (0.682, 0.318, 0.546)
F (0.818, 0.182, 0.046)
F (0.825, 0.469, 0.375)
F (0.867, 0.867, 0.500)
F (0.969, 0.325, 0.875)
F (0.980, 0.020, 0.306)

Output
V (Å³/cell): 397.9
DFT total energy (eV per atom): -8.392
Space-group type: No. 64
ΔE_f (raw) (meV/atom): -3024

Record 5
Computed, not measured: LiV3F10 at its PBEsol-relaxed geometry at the meta-GGA SCAN level of DFT.

a = 3.870 Å, b = 6.080 Å, c = 14.726 Å
α = 90.00°, β = 90.13°, γ = 90.00°
Atoms (fractional coordinates):
Li (0.000, 0.000, 0.000)
Li (0.000, 0.000, 0.500)
V (0.000, 0.013, 0.250)
V (0.000, 0.987, 0.750)
V (0.003, 0.458, 0.887)
V (0.003, 0.542, 0.387)
V (0.997, 0.458, 0.613)
V (0.997, 0.542, 0.113)
F (0.000, 0.374, 0.750)
F (0.000, 0.626, 0.250)
F (0.002, 0.129, 0.627)
F (0.002, 0.871, 0.127)
F (0.008, 0.314, 0.011)
F (0.008, 0.686, 0.511)
F (0.016, 0.260, 0.332)
F (0.016, 0.740, 0.832)
F (0.498, 0.451, 0.610)
F (0.498, 0.549, 0.110)
F (0.500, 0.001, 0.750)
F (0.500, 0.999, 0.250)
F (0.502, 0.451, 0.890)
F (0.502, 0.549, 0.390)
F (0.984, 0.260, 0.168)
F (0.984, 0.740, 0.668)
F (0.992, 0.314, 0.489)
F (0.992, 0.686, 0.989)
F (0.998, 0.129, 0.873)
F (0.998, 0.871, 0.373)

Output
V (Å³/cell): 346.5
DFT total energy (eV per atom): -9.593
Space-group type: No. 13
ΔE_f (raw) (meV/atom): -3146

Record 6
Computed, not measured: Li2V3F8 at its PBEsol-relaxed geometry at the meta-GGA SCAN level of DFT.

a = 6.053 Å, b = 6.053 Å, c = 6.053 Å
α = 61.27°, β = 61.27°, γ = 61.27°
Atoms (fractional coordinates):
Li (0.121, 0.121, 0.121)
Li (0.879, 0.879, 0.879)
V (0.000, 0.500, 0.500)
V (0.500, 0.000, 0.500)
V (0.500, 0.500, 0.000)
F (0.097, 0.097, 0.584)
F (0.097, 0.584, 0.097)
F (0.402, 0.402, 0.402)
F (0.416, 0.903, 0.903)
F (0.584, 0.097, 0.097)
F (0.598, 0.598, 0.598)
F (0.903, 0.416, 0.903)
F (0.903, 0.903, 0.416)

Output
V (Å³/cell): 161.3
DFT total energy (eV per atom): -9.550
Space-group type: No. 166
ΔE_f (raw) (meV/atom): -2968

Q: Number 1 is which compound?
A: LiVF3

Q: Among the records above, which one has the highest ΔE_f (raw)?
A: number 1

Q: Among the records above, which one has the highest ΔE_f (raw)?
A: number 1